Entry from Alexandria: a geometry-optimized Bi3HPb structure (PBE-GGA).

Space-group type = Pm-3m
E = -0.0930 hartree per atom
Distance to the lowest polymorph of the same formula = 906 meV per atom
Total magnetization = 0.81 μB per formula unit

Lattice parameters (Å, degrees): 6.027 6.027 6.027 90.00 90.00 90.00
Each line ends with the local moment (μB).
Sites, in units of the cell vectors:
1 Pb 0.000 0.000 0.000  0.00
2 H 0.500 0.500 0.500  0.36
3 Bi 0.000 0.500 0.000  -0.02
4 Bi 0.000 0.000 0.500  -0.03
5 Bi 0.500 0.000 0.000  0.00

Entry from Alexandria: a geometry-optimized BiHPb2 structure (PBE-GGA).

Space-group type = I-42d
E = -0.1250 hartree per atom
Distance to the lowest polymorph of the same formula = 50 meV per atom
Total magnetization = 0.00 μB per formula unit

Lattice parameters (Å, degrees): 6.000 6.000 7.879 67.62 67.62 90.00
Sites, in units of the cell vectors:
1 Pb 0.503 0.125 0.250
2 Pb 0.247 0.625 0.250
3 Pb 0.375 0.497 0.750
4 Pb 0.875 0.753 0.750
5 H 0.500 0.500 0.000
6 H 0.250 0.750 0.500
7 Bi 0.000 0.000 0.000
8 Bi 0.750 0.250 0.500

Entry from Alexandria: a geometry-optimized BiH2Pb structure (PBE-GGA).

Space-group type = I-42d
E = -0.1138 hartree per atom
Distance to the lowest polymorph of the same formula = 145 meV per atom
Total magnetization = 0.00 μB per formula unit

Lattice parameters (Å, degrees): 4.636 4.636 7.854 72.84 72.84 90.00
Sites, in units of the cell vectors:
1 Pb 0.500 0.500 0.000
2 Pb 0.250 0.750 0.500
3 H 0.670 0.125 0.250
4 H 0.080 0.625 0.250
5 H 0.375 0.330 0.750
6 H 0.875 0.920 0.750
7 Bi 0.000 0.000 0.000
8 Bi 0.750 0.250 0.500

Entry from Alexandria: a geometry-optimized BiHPb3 structure (PBE-GGA).

Space-group type = P-1
E = -0.1287 hartree per atom
Distance to the lowest polymorph of the same formula = 0 meV per atom
Total magnetization = 0.00 μB per formula unit

Lattice parameters (Å, degrees): 6.695 6.832 6.562 86.55 88.03 64.09
Sites, in units of the cell vectors:
1 Bi 0.875 0.411 0.429
2 Bi 0.494 0.889 0.626
3 H 0.633 0.358 0.912
4 H 0.735 0.942 0.143
5 Pb 0.379 0.148 0.182
6 Pb 0.989 0.151 0.873
7 Pb 0.401 0.404 0.625
8 Pb 0.447 0.608 0.120
9 Pb 0.967 0.896 0.430
10 Pb 0.921 0.691 0.934

Entry from Alexandria: a geometry-optimized Bi2HPb2 structure (PBE-GGA).

Space-group type = P4/mbm
E = -0.1173 hartree per atom
Total magnetization = 0.00 μB per formula unit

Lattice parameters (Å, degrees): 8.537 8.537 4.236 90.00 90.00 90.00
Sites, in units of the cell vectors:
1 Pb 0.151 0.651 0.500
2 Pb 0.651 0.849 0.500
3 Pb 0.849 0.349 0.500
4 Pb 0.349 0.151 0.500
5 H 0.000 0.000 0.000
6 H 0.500 0.500 0.000
7 Bi 0.358 0.858 0.000
8 Bi 0.858 0.642 0.000
9 Bi 0.642 0.142 0.000
10 Bi 0.142 0.358 0.000

Entry from Alexandria: a geometry-optimized Bi2H3Pb structure (PBE-GGA).

Space-group type = C2/c
E = -0.1181 hartree per atom
Total magnetization = 0.00 μB per formula unit

Lattice parameters (Å, degrees): 6.042 6.604 6.604 88.05 97.27 97.27
Sites, in units of the cell vectors:
1 Bi 0.720 0.152 0.495
2 Bi 0.220 0.495 0.152
3 Bi 0.780 0.505 0.848
4 Bi 0.280 0.848 0.505
5 H 0.250 0.276 0.724
6 H 0.750 0.724 0.276
7 H 0.953 0.643 0.660
8 H 0.547 0.340 0.357
9 H 0.453 0.660 0.643
10 H 0.047 0.357 0.340
11 Pb 0.750 0.930 0.070
12 Pb 0.250 0.070 0.930

Entry from Alexandria: a geometry-optimized BiH3Pb structure (PBE-GGA).

Space-group type = Pm-3m
E = -0.1061 hartree per atom
Distance to the lowest polymorph of the same formula = 0 meV per atom
Total magnetization = 0.00 μB per formula unit

Lattice parameters (Å, degrees): 4.325 4.325 4.325 90.00 90.00 90.00
Sites, in units of the cell vectors:
1 Pb 0.500 0.500 0.500
2 H 0.000 0.500 0.000
3 H 0.000 0.000 0.500
4 H 0.500 0.000 0.000
5 Bi 0.000 0.000 0.000

Entry from Alexandria: a geometry-optimized BiHPb3 structure (PBE-GGA).

Space-group type = Pm-3m
E = -0.1277 hartree per atom
Distance to the lowest polymorph of the same formula = 27 meV per atom
Total magnetization = 0.00 μB per formula unit

Lattice parameters (Å, degrees): 5.075 5.075 5.075 90.00 90.00 90.00
Sites, in units of the cell vectors:
1 Pb 0.000 0.500 0.000
2 Pb 0.000 0.000 0.500
3 Pb 0.500 0.000 0.000
4 H 0.000 0.000 0.000
5 Bi 0.500 0.500 0.500